# 1
Density functional theory data (PBE) for Ce3Pr3MgTe8 after structural relaxation.

- symmetry = R-3m
- ΔE_f (raw) (eV per atom) = -1.328
- VASP energy (eV per atom) = -5.252
- density of states at the Fermi level (states/eV/atom) = 1.624

The structure in CIF format:
```
data_Ce3Pr3MgTe8
_chemical_formula_sum 'Ce3 Pr3 Mg1 Te8'
_cell_length_a 9.015
_cell_length_b 9.015
_cell_length_c 9.015
_cell_angle_alpha 59.68
_cell_angle_beta 59.68
_cell_angle_gamma 59.68
_symmetry_space_group_name_H-M 'P 1'
_symmetry_Int_Tables_number 1
loop_
_symmetry_equiv_pos_as_xyz
'x,y,z'
loop_
_atom_site_label
_atom_site_type_symbol
_atom_site_fract_x
_atom_site_fract_y
_atom_site_fract_z
_atom_site_occupancy
Ce1 Ce 0.000 0.500 0.500 1
Ce2 Ce 0.500 0.000 0.500 1
Ce3 Ce 0.500 0.500 0.000 1
Pr1 Pr 0.000 0.000 0.500 1
Pr2 Pr 0.000 0.500 0.000 1
Pr3 Pr 0.500 0.000 0.000 1
Mg1 Mg 0.000 0.000 0.000 1
Te1 Te 0.242 0.242 0.757 1
Te2 Te 0.242 0.757 0.242 1
Te3 Te 0.243 0.758 0.758 1
Te4 Te 0.251 0.251 0.251 1
Te5 Te 0.749 0.749 0.749 1
Te6 Te 0.757 0.242 0.242 1
Te7 Te 0.758 0.243 0.758 1
Te8 Te 0.758 0.758 0.243 1
```

***

# 2
Density functional theory data (PBE) for Ce2PrMgTl4 after structural relaxation.

- symmetry = R-3m
- energy of formation from the pure elements (eV/atom) = -0.254
- VASP energy (eV per atom) = -3.717
- density of states at the Fermi level (states/eV/atom) = 1.985

The structure in CIF format:
```
data_Ce2PrMgTl4
_chemical_formula_sum 'Ce2 Pr1 Mg1 Tl4'
_cell_length_a 9.734
_cell_length_b 9.734
_cell_length_c 9.734
_cell_angle_alpha 31.99
_cell_angle_beta 31.99
_cell_angle_gamma 31.99
_symmetry_space_group_name_H-M 'P 1'
_symmetry_Int_Tables_number 1
loop_
_symmetry_equiv_pos_as_xyz
'x,y,z'
loop_
_atom_site_label
_atom_site_type_symbol
_atom_site_fract_x
_atom_site_fract_y
_atom_site_fract_z
_atom_site_occupancy
Ce1 Ce 0.241 0.241 0.241 1
Ce2 Ce 0.759 0.759 0.759 1
Pr1 Pr 0.000 0.000 0.000 1
Mg1 Mg 0.500 0.500 0.500 1
Tl1 Tl 0.124 0.124 0.124 1
Tl2 Tl 0.377 0.377 0.377 1
Tl3 Tl 0.623 0.623 0.623 1
Tl4 Tl 0.876 0.876 0.876 1
```

***

Q: Which formula does entry 1 have?
A: Ce3Pr3MgTe8

***

Q: The lowest VASP energy belongs to which entry?
A: Ce3Pr3MgTe8